# Sr3Tb3MgTe8 (PBE-GGA, optimized geometry)
data_Sr3Tb3MgTe8
_chemical_formula_sum 'Sr9 Tb9 Mg3 Te24'
_cell_length_a 8.9182
_cell_length_b 8.9182
_cell_length_c 22.8550
_cell_angle_alpha 90.00
_cell_angle_beta 90.00
_cell_angle_gamma 120.00
_symmetry_space_group_name_H-M 'R -3 m'
_symmetry_Int_Tables_number 166
_symmetry_space_group_name_Hall '-R 3 2"'
loop_
_atom_site_label
_atom_site_fract_x
_atom_site_fract_y
_atom_site_fract_z
_atom_site_occupancy
Sr1 0.0000 0.5000 0.0000 1
Tb1 0.0000 0.5000 0.5000 1
Mg1 0.0000 0.0000 0.5000 1
Te1 0.0000 0.0000 0.2439 1
Te2 0.0042 0.5021 0.2415 1
# **Raw formation energy**: -1.429 eV/atom
# **Total energy**: -4.473 eV per atom

---

# Ag3IN (PBE-GGA, optimized geometry)
data_Ag3IN
_chemical_formula_sum 'Ag3 I1 N1'
_cell_length_a 4.5921
_cell_length_b 4.5921
_cell_length_c 4.5921
_cell_angle_alpha 90.00
_cell_angle_beta 90.00
_cell_angle_gamma 90.00
_symmetry_space_group_name_H-M 'P m -3 m'
_symmetry_Int_Tables_number 221
_symmetry_space_group_name_Hall '-P 4 2 3'
loop_
_atom_site_label
_atom_site_fract_x
_atom_site_fract_y
_atom_site_fract_z
_atom_site_occupancy
Ag1 0.0000 0.0000 0.5000 1
I1 0.5000 0.5000 0.5000 1
N1 0.0000 0.0000 0.0000 1
# **Raw formation energy**: 0.623 eV/atom
# **Total energy**: -3.063 eV per atom

---

# LaTb2Ho (PBE-GGA, optimized geometry)
data_LaTb2Ho
_chemical_formula_sum 'La3 Tb6 Ho3'
_cell_length_a 3.5985
_cell_length_b 3.5985
_cell_length_c 35.1990
_cell_angle_alpha 90.00
_cell_angle_beta 90.00
_cell_angle_gamma 120.00
_symmetry_space_group_name_H-M 'R -3 m'
_symmetry_Int_Tables_number 166
_symmetry_space_group_name_Hall '-R 3 2"'
loop_
_atom_site_label
_atom_site_fract_x
_atom_site_fract_y
_atom_site_fract_z
_atom_site_occupancy
La1 0.0000 0.0000 0.0000 1
Tb1 0.0000 0.0000 0.2478 1
Ho1 0.0000 0.0000 0.5000 1
# **Total energy**: -4.670 eV per atom